# CdHgAu4

A PBEsol-optimized structure of CdHgAu4 (SCAN, the Alexandria database).

Values from the calculation:
As for the space group: No. 216. The energy of formation comes out at -4.4 kJ/mol of atoms.

a = 5.4641 Å, b = 5.4641 Å, c = 5.4641 Å
α = 60.00°, β = 60.00°, γ = 60.00°
Atoms (fractional coordinates):
Au 0.3751 0.3751 0.3751
Au 0.3751 0.3751 0.8747
Au 0.8747 0.3751 0.3751
Au 0.3751 0.8747 0.3751
Hg 0.0000 0.0000 0.0000
Cd 0.7500 0.7500 0.7500

***

# La2InW

A PBEsol-optimized structure of La2InW (SCAN, the Alexandria database).

Values from the calculation:
As for the space group: No. 10. The energy of formation comes out at 61.0 kJ/mol of atoms.

a = 3.0425 Å, b = 5.6157 Å, c = 5.9735 Å
α = 112.18°, β = 90.00°, γ = 90.00°
Atoms (fractional coordinates):
In 0.0000 0.5000 0.5000
La 0.0000 0.0000 0.0000
La 0.5000 0.5000 0.0000
W 0.5000 0.0000 0.5000